First-principles (GGA-PBE) data for crystalline LiHo4Pd2 at its relaxed geometry, as listed in Alexandria.

Calculated values
DOS at the Fermi energy in states/eV/atom: 0.838
Energy of formation from the pure elements in meV per atom: -457
Symmetry: P1, No. 1

Cell lengths 7.0278, 7.3096, 7.7130 Å; angles 103.68, 108.95, 104.77 degrees
With the nearest neighbours (Å) after each atom.
Atoms (fractional coordinates):
Li  0.0000  0.0000  0.0000  7 Ho 3.02-3.34, 1 Pd 3.03, 1 Li 3.14
Li  0.2857  0.2362  0.4476  1 Pd 2.61
Ho  0.0375  0.1934  0.7019  3 Pd 2.86-2.95, 2 Li 3.02-3.04
Ho  0.0991  0.6908  0.7419  4 Pd 2.85-2.92, 1 Li 3.02
Ho  0.4139  0.4223  0.1828  4 Pd 2.94-3.14, 2 Li 2.95-3.27
Ho  0.4509  0.9161  0.2462  3 Pd 3.01-3.10, 1 Li 3.17
Ho  0.5533  0.0744  0.7590  4 Pd 3.03-3.36, 2 Li 3.20-3.34
Ho  0.5961  0.5941  0.8129  4 Pd 2.89-3.10, 2 Li 3.02-3.16
Ho  0.8800  0.3022  0.2529  3 Pd 2.86-2.89, 2 Li 2.98-3.06
Ho  0.9411  0.7950  0.3011  3 Pd 2.87-2.98, 2 Li 3.12-3.17
Pd  0.2786  0.6490  0.4587  7 Ho 2.85-3.10, 2 Pd 2.85-3.18, 1 Li 3.01
Pd  0.6982  0.3383  0.5374  1 Li 2.61, 3 Ho 2.87-2.89
Pd  0.7323  0.7916  0.5645  1 Pd 2.85, 7 Ho 2.86-3.14, 1 Li 3.03
Pd  0.9956  0.4968  0.0012  6 Ho 2.86-3.07, 1 Pd 3.18

***

First-principles (GGA-PBE) data for crystalline HoAlGa at its relaxed geometry, as listed in Alexandria.

Calculated values
DOS at the Fermi energy in states/eV/atom: 0.585
Energy of formation from the pure elements in meV per atom: -568
Symmetry: C2/m, No. 12

Cell lengths 5.7299, 5.7299, 7.0078 Å; angles 126.27, 126.27, 43.89 degrees
With the nearest neighbours (Å) after each atom.
Atoms (fractional coordinates):
Ho  0.0590  0.0590  0.3126  5 Ga 3.05-3.12, 5 Al 3.14-3.18
Ho  0.9410  0.9410  0.6874  5 Ga 3.05-3.12, 5 Al 3.14-3.18
Al  0.3378  0.3378  0.8982  3 Ga 2.58-2.77, 1 Al 2.77
Al  0.6622  0.6622  0.1018  3 Ga 2.58-2.77, 1 Al 2.77
Ga  0.3377  0.3377  0.2937  3 Al 2.58-2.77, 1 Ga 2.75
Ga  0.6623  0.6623  0.7063  3 Al 2.58-2.77, 1 Ga 2.75

***

First-principles (GGA-PBE) data for crystalline Pm5Sn2Pb2 at its relaxed geometry, as listed in Alexandria.

Calculated values
DOS at the Fermi energy in states/eV/atom: 0.714
Energy of formation from the pure elements in meV per atom: -681
Symmetry: Cmce, No. 64
Distance to the lowest polymorph of the same formula in eV/atom: 0.0000

Cell lengths 9.0418, 9.0418, 8.3976 Å; angles 90.00, 90.00, 55.31 degrees
With the nearest neighbours (Å) after each atom.
Atoms (fractional coordinates):
Pm  0.0000  0.0000  0.0000  4 Sn 3.29-3.30, 2 Pb 3.33
Pm  0.0380  0.6906  0.6704  3 Sn 3.21-3.36, 3 Pb 3.23-3.33
Pm  0.1906  0.5380  0.1704  3 Sn 3.21-3.36, 3 Pb 3.23-3.33
Pm  0.3094  0.9620  0.6704  3 Sn 3.21-3.36, 3 Pb 3.23-3.33
Pm  0.4620  0.8094  0.1704  3 Sn 3.21-3.36, 3 Pb 3.23-3.33
Pm  0.5000  0.5000  0.5000  4 Sn 3.29-3.30, 2 Pb 3.33
Pm  0.5380  0.1906  0.8296  3 Sn 3.21-3.36, 3 Pb 3.23-3.33
Pm  0.6906  0.0380  0.3296  3 Sn 3.21-3.36, 3 Pb 3.23-3.33
Pm  0.8094  0.4620  0.8296  3 Sn 3.21-3.36, 3 Pb 3.23-3.33
Pm  0.9620  0.3094  0.3296  3 Sn 3.21-3.36, 3 Pb 3.23-3.33
Sn  0.1287  0.8713  0.3700  1 Sn 3.07, 8 Pm 3.21-3.36
Sn  0.3713  0.6287  0.8700  1 Sn 3.07, 8 Pm 3.21-3.36
Sn  0.6287  0.3713  0.1300  1 Sn 3.07, 8 Pm 3.21-3.36
Sn  0.8713  0.1287  0.6300  1 Sn 3.07, 8 Pm 3.21-3.36
Pb  0.2078  0.2078  0.0000  7 Pm 3.23-3.33
Pb  0.2922  0.2922  0.5000  7 Pm 3.23-3.33
Pb  0.7078  0.7078  0.5000  7 Pm 3.23-3.33
Pb  0.7922  0.7922  0.0000  7 Pm 3.23-3.33

***

First-principles (GGA-PBE) data for crystalline Rb2AgPdO at its relaxed geometry, as listed in Alexandria.

Calculated values
DOS at the Fermi energy in states/eV/atom: 0.376
Symmetry: P4/mmm, No. 123
E_form (uncorrected) in meV per atom: -359

Cell lengths 6.1341, 6.1341, 3.9108 Å; angles 90.00, 90.00, 90.00 degrees
With the nearest neighbours (Å) after each atom.
Atoms (fractional coordinates):
Rb  0.0000  0.5000  0.0000  2 O 3.07
Rb  0.5000  0.0000  0.0000  2 O 3.07
Ag  0.0000  0.0000  0.5000  8 Rb 3.64, 2 Ag 3.91
Pd  0.5000  0.5000  0.5000  2 O 1.96
O  0.5000  0.5000  0.0000  2 Pd 1.96

***

First-principles (GGA-PBE) data for crystalline PaTaV2 at its relaxed geometry, as listed in Alexandria.

Calculated values
DOS at the Fermi energy in states/eV/atom: 1.679
Energy of formation from the pure elements in meV per atom: 99
Symmetry: Fm-3m, No. 225
Distance to the lowest polymorph of the same formula in eV/atom: 0.0000

Cell lengths 4.6139, 4.6139, 4.6139 Å; angles 60.00, 60.00, 60.00 degrees
With the nearest neighbours (Å) after each atom.
Atoms (fractional coordinates):
Pa  0.0000  0.0000  0.0000  8 V 2.83
Ta  0.5000  0.5000  0.5000  8 V 2.83
V  0.2500  0.2500  0.2500  4 Ta 2.83, 4 Pa 2.83
V  0.7500  0.7500  0.7500  4 Ta 2.83, 4 Pa 2.83

***

First-principles (GGA-PBE) data for crystalline Pr2YCd at its relaxed geometry, as listed in Alexandria.

Calculated values
DOS at the Fermi energy in states/eV/atom: 1.441
Energy of formation from the pure elements in meV per atom: -35
Symmetry: Fm-3m, No. 225
Distance to the lowest polymorph of the same formula in eV/atom: 0.1238

Cell lengths 5.6115, 5.6115, 5.6115 Å; angles 60.00, 60.00, 60.00 degrees
With the nearest neighbours (Å) after each atom.
Atoms (fractional coordinates):
Pr  0.2500  0.2500  0.2500  4 Cd 3.44, 4 Y 3.44
Pr  0.7500  0.7500  0.7500  4 Cd 3.44, 4 Y 3.44
Y  0.0000  0.0000  0.0000  8 Pr 3.44
Cd  0.5000  0.5000  0.5000  8 Pr 3.44

***

First-principles (GGA-PBE) data for crystalline Na3CaNi at its relaxed geometry, as listed in Alexandria.

Calculated values
DOS at the Fermi energy in states/eV/atom: 1.790
Energy of formation from the pure elements in meV per atom: 1232
Symmetry: Pm-3m, No. 221
Distance to the lowest polymorph of the same formula in eV/atom: 0.8009

Cell lengths 6.2931, 6.2931, 6.2931 Å; angles 90.00, 90.00, 90.00 degrees
With the nearest neighbours (Å) after each atom.
Atoms (fractional coordinates):
Na  0.0000  0.0000  0.5000  2 Ca 3.15
Na  0.0000  0.5000  0.0000  2 Ca 3.15
Na  0.5000  0.0000  0.0000  2 Ca 3.15
Ca  0.0000  0.0000  0.0000  6 Na 3.15
Ni  0.5000  0.5000  0.5000  12 Na 4.45

***

First-principles (GGA-PBE) data for crystalline LaBeSe2 at its relaxed geometry, as listed in Alexandria.

Calculated values
DOS at the Fermi energy in states/eV/atom: 0.849
Symmetry: R-3m, No. 166
E_form (uncorrected) in meV per atom: -947

Cell lengths 7.8853, 7.8853, 7.8853 Å; angles 32.22, 32.22, 32.22 degrees
With the nearest neighbours (Å) after each atom.
Atoms (fractional coordinates):
La  0.0000  0.0000  0.0000  6 Se 3.05
Be  0.5000  0.5000  0.5000  2 Se 2.03
Se  0.4095  0.4095  0.4095  1 Be 2.03
Se  0.5905  0.5905  0.5905  1 Be 2.03